Here is a relaxed structure of SrGdAu from the Alexandria database. Energies are from PBE.

Cell lengths 6.845, 4.341, 4.341 Å; angles 120.00, 90.00, 90.00 degrees
Site moments in Bohr magnetons follow the coordinates.
Sites, in units of the cell vectors:
Gd1 0.237 0.333 0.667  6.97
Au1 0.024 0.000 0.000  0.00
Sr1 0.739 0.667 0.333  0.00

Results
* formation energy: -396 meV per atom
* E above lowest polymorph: 96 meV per atom
* DOS(E_F): 5.0 states/eV per cell
* mass density: 6.57 g cm⁻³
* electronic total energy: -6.743 eV/atom

Here is a relaxed structure of Sr2GdAu from the Alexandria database. Energies are from PBE.

Cell lengths 4.035, 4.035, 11.754 Å; angles 80.12, 80.12, 60.00 degrees
Site moments in Bohr magnetons follow the coordinates.
Sites, in units of the cell vectors:
Gd1 0.000 0.000 0.000  7.27
Sr1 0.108 0.108 0.677  0.01
Sr2 0.892 0.892 0.323  0.01
Au1 0.500 0.500 0.500  0.01

Results
* formation energy: -42 meV per atom
* DOS(E_F): 8.4 states/eV per cell
* mass density: 5.41 g cm⁻³
* electronic total energy: -5.222 eV/atom